# 1
Compound: Li2YAu2
Source: the Alexandria database
Functional: GGA-PBE
Structure: relaxed

Unit cell a=3.851 b=3.851 c=7.194 alpha=74.48 beta=74.48 gamma=90.00
Element x y z (fractional)
Y1 0.000 0.000 0.000
Au1 0.392 0.392 0.216
Au2 0.608 0.608 0.784
Li1 0.750 0.250 0.500
Li2 0.250 0.750 0.500

Calculated values
Space group: I4/mmm, No. 139
Distance to the lowest polymorph of the same formula in meV/atom: 0
Fermi-level density of states in states/eV/f.u.: 2.22

***

# 2
Compound: MgGaAg6
Source: the Alexandria database
Functional: GGA-PBE
Structure: relaxed

Unit cell a=4.332 b=5.718 c=5.718 alpha=89.81 beta=90.00 gamma=90.00
Element x y z (fractional)
Mg1 0.500 0.000 0.000
Ga1 0.500 0.500 0.500
Ag1 0.000 0.749 0.251
Ag2 0.000 0.251 0.749
Ag3 0.000 0.750 0.750
Ag4 0.000 0.250 0.250
Ag5 0.500 0.500 0.000
Ag6 0.500 0.000 0.500

Calculated values
Space group: Cmmm, No. 65
Distance to the lowest polymorph of the same formula in meV/atom: 0
Fermi-level density of states in states/eV/f.u.: 1.14

***

Q: Which value of Fermi-level density of states does entry 2 give?
A: 1.14 states/eV/f.u.

***

What did the first record say?
Compound: Li2YAu2
Source: the Alexandria database
Functional: GGA-PBE
Structure: relaxed

Unit cell a=3.851 b=3.851 c=7.194 alpha=74.48 beta=74.48 gamma=90.00
Element x y z (fractional)
Y1 0.000 0.000 0.000
Au1 0.392 0.392 0.216
Au2 0.608 0.608 0.784
Li1 0.750 0.250 0.500
Li2 0.250 0.750 0.500

Calculated values
Space group: I4/mmm, No. 139
Distance to the lowest polymorph of the same formula in meV/atom: 0
Fermi-level density of states in states/eV/f.u.: 2.22

***

Q: Which value of distance to the lowest polymorph of the same formula does entry 1 give?
A: 0 meV/atom

***

Q: What is the formula in the second record?
A: MgGaAg6